GaP2ICl | PBE | relaxed

Computed properties:
**E above lowest polymorph**: 0.00 eV per formula unit
**Crystal system**: tetragonal

Cell and atoms, written as POSCAR:
```
GaP2ICl
1.0
4.933 0.000 0.000
0.000 4.933 0.000
0.000 0.000 4.758
P Cl I Ga
2 1 1 1
Cartesian
0.000 2.466 0.000
2.466 0.000 0.000
0.000 0.000 2.379
2.466 2.466 2.379
0.000 0.000 0.000
```